No. 1
# NaMnPt | Alexandria | PBE | relaxed
# **Electronic total energy**: -0.1940 Ha/atom
data_NaMnPt
_chemical_formula_sum 'Na4 Mn4 Pt4'
_cell_length_a 7.379
_cell_length_b 3.678
_cell_length_c 7.203
_cell_angle_alpha 90.00
_cell_angle_beta 90.00
_cell_angle_gamma 90.00
_space_group_name_H-M_alt 'P 1'
_space_group_IT_number 1
_space_group_name_Hall 'P 1'
loop_
_atom_site_label
_atom_site_type_symbol
_atom_site_fract_x
_atom_site_fract_y
_atom_site_fract_z
_atom_site_occupancy
Na1 Na 0.988 0.250 0.868 1
Na2 Na 0.512 0.750 0.368 1
Na3 Na 0.012 0.750 0.132 1
Na4 Na 0.488 0.250 0.632 1
Mn1 Mn 0.913 0.250 0.469 1
Mn2 Mn 0.587 0.750 0.969 1
Mn3 Mn 0.087 0.750 0.531 1
Mn4 Mn 0.413 0.250 0.031 1
Pt1 Pt 0.223 0.250 0.320 1
Pt2 Pt 0.277 0.750 0.820 1
Pt3 Pt 0.777 0.750 0.680 1
Pt4 Pt 0.723 0.250 0.180 1


No. 2
# AgTe2 | Alexandria | PBE | relaxed
# **E_form (uncorrected)**: 91.7 kJ/mol of formula units
data_AgTe2
_chemical_formula_sum 'Ag2 Te4'
_cell_length_a 5.285
_cell_length_b 5.285
_cell_length_c 6.380
_cell_angle_alpha 90.00
_cell_angle_beta 90.00
_cell_angle_gamma 120.00
_space_group_name_H-M_alt 'P 1'
_space_group_IT_number 1
_space_group_name_Hall 'P 1'
loop_
_atom_site_label
_atom_site_type_symbol
_atom_site_fract_x
_atom_site_fract_y
_atom_site_fract_z
_atom_site_occupancy
Ag1 Ag 0.333 0.667 0.250 1
Ag2 Ag 0.667 0.333 0.750 1
Te1 Te 0.000 0.000 0.000 1
Te2 Te 0.000 0.000 0.500 1
Te3 Te 0.333 0.667 0.750 1
Te4 Te 0.667 0.333 0.250 1


| no. | total magnetic moment (Bohr magnetons per cell) |
| --- | --- |
| 1 | 0.0 |
| 2 | 0.0 |